[1]
# Tb7HoTm12

A relaxed structure of Tb7HoTm12 (PBE-GGA, Alexandria via LeMat-Bulk).

Cell lengths 12.6582, 12.6582, 13.4605 Å; angles 90.00, 90.00, 120.00 degrees
With the nearest neighbours (Å) after each atom.
Space group R-3 (No. 148, hexagonal axes)
Asymmetric unit:
Tb 0.0000 0.0000 0.0000 (multiplicity 3)  6 Tm 3.02
Tb 0.0685 0.2003 0.3458 (multiplicity 18)  2 Tm 3.04-3.32, 1 Tb 3.04, 1 Ho 3.05
Ho 0.0000 0.0000 0.5000 (multiplicity 3)  6 Tb 3.05
Tm 0.0000 0.4358 0.2490 (multiplicity 18)  3 Tm 3.30-3.48, 3 Tb 3.32-3.53
Tm 0.0683 0.8666 0.8505 (multiplicity 18)  2 Tb 3.02-3.04, 2 Tm 3.04-3.30

## Properties
* distance to the lowest polymorph of the same formula: 0.0 meV per atom
* calculated total energy: -4.23 eV per atom
* energy relative to the elements: 0.3073 eV per atom

[2]
# Tb2HoTm

A relaxed structure of Tb2HoTm (PBE-GGA, Alexandria via LeMat-Bulk).

Cell lengths 4.9921, 4.9921, 4.9766 Å; angles 90.00, 90.00, 90.00 degrees
With the nearest neighbours (Å) after each atom.
Space group P4/mmm (No. 123)
Asymmetric unit:
Tb 0.0000 0.5000 0.0000 (multiplicity 2)  4 Tm 3.52, 4 Ho 3.52, 4 Tb 3.53
Ho 0.0000 0.0000 0.5000 (multiplicity 1)  8 Tb 3.52, 4 Tm 3.53
Tm 0.5000 0.5000 0.5000 (multiplicity 1)  8 Tb 3.52, 4 Ho 3.53

## Properties
* distance to the lowest polymorph of the same formula: 16.7 meV per atom
* calculated total energy: -4.56 eV per atom
* energy relative to the elements: 0.0215 eV per atom

[3]
# Tb8HoTm2

A relaxed structure of Tb8HoTm2 (PBE-GGA, Alexandria via LeMat-Bulk).

Cell lengths 16.4308, 6.6136, 6.5943 Å; angles 90.00, 100.33, 90.00 degrees
With the nearest neighbours (Å) after each atom.
Space group C2/m (No. 12)
Asymmetric unit:
Tb 0.0881 0.2378 0.4043 (multiplicity 8)  5 Tb 3.14-3.47, 1 Ho 3.29, 1 Tm 3.41
Tb 0.0908 0.0000 0.9080 (multiplicity 4)  8 Tb 3.31-3.67, 1 Tm 3.60
Tb 0.2441 0.5000 0.3143 (multiplicity 4)  5 Tb 3.24-3.42, 4 Tm 3.32-3.55
Ho 0.0000 0.5000 0.0000 (multiplicity 2)  4 Tb 3.29
Tm 0.2011 0.5000 0.8024 (multiplicity 4)  7 Tb 3.32-3.60

## Properties
* distance to the lowest polymorph of the same formula: 162.2 meV per atom
* calculated total energy: -4.42 eV per atom
* energy relative to the elements: 0.1803 eV per atom

[4]
# TbHo8Tm4

A relaxed structure of TbHo8Tm4 (PBE-GGA, Alexandria via LeMat-Bulk).

Cell lengths 7.1868, 7.1868, 27.0157 Å; angles 90.00, 90.00, 120.00 degrees
With the nearest neighbours (Å) after each atom.
Space group R-3m (No. 166, hexagonal axes)
Asymmetric unit:
Tb 0.0000 0.0000 0.0000 (multiplicity 3)  6 Ho 2.91
Ho 0.0000 0.0000 0.2836 (multiplicity 6)  9 Ho 3.63-3.64, 3 Tm 3.78
Ho 0.0354 0.5177 0.2669 (multiplicity 18)  1 Tb 2.91, 2 Ho 3.21
Tm 0.0000 0.0000 0.5000 (multiplicity 3)  6 Ho 3.28, 6 Tm 3.59
Tm 0.0000 0.5000 0.5000 (multiplicity 9)  6 Ho 3.49-3.78, 6 Tm 3.59

## Properties
* calculated total energy: -4.33 eV per atom
* energy relative to the elements: 0.2225 eV per atom

[5]
# Tb5Ho2Tm5

A relaxed structure of Tb5Ho2Tm5 (PBE-GGA, Alexandria via LeMat-Bulk).

Cell lengths 14.9108, 4.9739, 11.1206 Å; angles 90.00, 116.55, 90.00 degrees
With the nearest neighbours (Å) after each atom.
Space group C2/m (No. 12)
Asymmetric unit:
Tb 0.0000 0.0000 0.0000 (multiplicity 2)  2 Ho 3.50, 2 Tb 3.51, 8 Tm 3.51-3.52
Tb 0.1658 0.0000 0.4994 (multiplicity 4)  2 Ho 3.51-3.52, 5 Tm 3.51-3.53, 5 Tb 3.53
Tb 0.2496 0.0000 0.2489 (multiplicity 4)  6 Tm 3.51-3.52, 4 Tb 3.51-3.53, 2 Ho 3.52
Ho 0.0832 0.0000 0.7509 (multiplicity 4)  5 Tb 3.50-3.52, 7 Tm 3.51-3.52
Tm 0.0000 0.5000 0.5000 (multiplicity 2)  6 Tb 3.51-3.52, 2 Tm 3.52, 4 Ho 3.52
Tm 0.0829 0.5000 0.2496 (multiplicity 4)  2 Ho 3.51, 7 Tb 3.51-3.53, 3 Tm 3.52
Tm 0.1672 0.5000 0.0004 (multiplicity 4)  5 Tb 3.51-3.52, 3 Ho 3.51, 4 Tm 3.51-3.52

## Properties
* calculated total energy: -4.54 eV per atom
* energy relative to the elements: 0.0202 eV per atom

[6]
# TbHoTm4

A relaxed structure of TbHoTm4 (PBE-GGA, Alexandria via LeMat-Bulk).

Cell lengths 9.1689, 9.1689, 9.1689 Å; angles 90.00, 90.00, 90.00 degrees
With the nearest neighbours (Å) after each atom.
Space group F-43m (No. 216)
Asymmetric unit:
Tb 0.0000 0.0000 0.0000 (multiplicity 4)  12 Tm 3.80, 4 Ho 3.97
Ho 0.2500 0.2500 0.7500 (multiplicity 4)  12 Tm 3.80, 4 Tb 3.97
Tm 0.1248 0.1248 0.3752 (multiplicity 16)  6 Tm 3.24-3.25

## Properties
* distance to the lowest polymorph of the same formula: 195.5 meV per atom
* calculated total energy: -4.24 eV per atom
* energy relative to the elements: 0.2770 eV per atom

Number 1: D(E_F) 0.869 states/eV/atom. Number 2: D(E_F) 1.457 states/eV/atom. Number 3: D(E_F) 1.569 states/eV/atom. Number 4: D(E_F) 1.199 states/eV/atom. Number 5: D(E_F) 1.273 states/eV/atom. Number 6: D(E_F) 1.927 states/eV/atom.